PmNdPd2 | PBE | relaxed

It has space group Fm-3m (No. 225), with a = 7.2304 Å, b = 7.2304 Å, c = 7.2304 Å, α = 90.00°, β = 90.00° and γ = 90.00°. The asymmetric unit holds Pm at (0.0000, 0.0000, 0.0000), Nd at (0.0000, 0.0000, 0.5000) and Pd at (0.2500, 0.2500, 0.2500).

The calculation puts the formation energy at -748 meV/atom. The calculation puts the energy above the most stable polymorph in this dataset at 71.0 meV/atom. The calculation puts the total magnetization at 0.00 μB per cell.